TlSiSb2 PBE relaxed; energy relative to the lowest polymorph listed for this composition = 114 meV/atom; electronic total energy = -3.7210 eV per atom; raw formation energy = 288 meV/atom; symmetry = C2/m
1.0
5.220 -1.902 0.000
5.220 1.902 0.000
-2.128 0.000 5.554
Tl Si Sb
1 1 2
Direct
0.000 0.000 0.000 Tl
0.500 0.500 0.500 Si
0.208 0.208 0.667 Sb
0.792 0.792 0.333 Sb

***

Nd3HfPa3N8 PBE relaxed; electronic total energy = -9.4787 eV per atom; raw formation energy = -1522 meV/atom; symmetry = R-3m
1.0
3.488 2.014 5.815
-3.488 2.014 5.815
0.000 -4.028 5.815
Nd Hf Pa N
3 1 3 8
Direct
0.000 0.500 0.500 Nd
0.500 0.000 0.500 Nd
0.500 0.500 0.000 Nd
0.500 0.500 0.500 Hf
0.000 0.000 0.500 Pa
0.000 0.500 0.000 Pa
0.500 0.000 0.000 Pa
0.239 0.239 0.239 N
0.248 0.725 0.725 N
0.275 0.275 0.752 N
0.275 0.752 0.275 N
0.725 0.248 0.725 N
0.725 0.725 0.248 N
0.752 0.275 0.275 N
0.761 0.761 0.761 N

***

Rb2BaCoBr6 PBE relaxed; electronic total energy = -3.4820 eV per atom; raw formation energy = -1382 meV/atom; symmetry = P-1
1.0
7.891 0.000 0.000
3.683 7.010 0.000
3.714 2.228 6.660
Rb Ba Co Br
2 1 1 6
Direct
0.236 0.230 0.233 Rb
0.764 0.770 0.767 Rb
0.500 0.500 0.500 Ba
0.000 0.000 0.000 Co
0.144 0.304 0.790 Br
0.223 0.853 0.699 Br
0.298 0.788 0.150 Br
0.702 0.212 0.850 Br
0.777 0.147 0.301 Br
0.856 0.696 0.210 Br

***

Ga2Sb2Cl PBE relaxed; energy relative to the lowest polymorph listed for this composition = 189 meV/atom; electronic total energy = -3.2429 eV per atom; raw formation energy = -14 meV/atom; symmetry = P4/mbm
1.0
8.295 0.000 0.000
0.000 8.295 0.000
0.000 0.000 3.475
Ga Sb Cl
4 4 2
Direct
0.156 0.344 0.000 Ga
0.344 0.844 0.000 Ga
0.656 0.156 0.000 Ga
0.844 0.656 0.000 Ga
0.143 0.643 0.500 Sb
0.357 0.143 0.500 Sb
0.643 0.857 0.500 Sb
0.857 0.357 0.500 Sb
0.000 0.000 0.000 Cl
0.500 0.500 0.000 Cl